Entry 1:
Cr2GaAs: optimized geometry, PBE.

CIF file:
```
data_Cr2GaAs
_space_group_name_H-M_alt 'I -4 2 d'
_space_group_IT_number 122
_space_group_name_Hall 'I -4 2bw'
_cell_length_a 6.7531
_cell_length_b 6.7531
_cell_length_c 5.6208
_cell_angle_alpha 90.00
_cell_angle_beta 90.00
_cell_angle_gamma 90.00
loop_
_atom_site_label
_atom_site_type_symbol
_atom_site_fract_x
_atom_site_fract_y
_atom_site_fract_z
Cr1 Cr 0.2313 0.2500 0.1250
Ga1 Ga 0.0000 0.0000 0.5000
As1 As 0.0000 0.0000 0.0000
```

Properties
Energy above the lowest structure with this stoichiometry   203.1 meV per atom
Volume   16.02 A^3/atom
ΔH_f (0 K)   0.389 eV/atom

=====

Entry 2:
CrGaAs2: optimized geometry, PBE.

CIF file:
```
data_CrGaAs2
_space_group_name_H-M_alt 'I -4 2 d'
_space_group_IT_number 122
_space_group_name_Hall 'I -4 2bw'
_cell_length_a 5.7457
_cell_length_b 5.7457
_cell_length_c 11.2799
_cell_angle_alpha 90.00
_cell_angle_beta 90.00
_cell_angle_gamma 90.00
loop_
_atom_site_label
_atom_site_type_symbol
_atom_site_fract_x
_atom_site_fract_y
_atom_site_fract_z
Cr1 Cr 0.0000 0.0000 0.0000
Ga1 Ga 0.0000 0.0000 0.5000
As1 As 0.2419 0.2500 0.1250
```

Properties
Volume   23.27 A^3/atom
ΔH_f (0 K)   0.002 eV/atom